# NdFeRe

A geometry-optimized NdFeRe structure (PBE, OQMD via LeMat-Bulk).

Properties
SG = F-43m (216)
volume = 20.17 Å³/atom
DFT total energy = -7.65 eV per atom
formation energy from the elements = 0.850 eV/atom
crystal system = cubic
spin magnetization = 1.63 μB/f.u.

a b c (Å): 4.4067 4.4067 4.4067
angles (deg): 60.00 60.00 60.00
Last column: nearest neighbours and their distance in Å.
Positions (direct):
Nd  0.2500  0.2500  0.2500  4 Fe 2.70
Re  0.7500  0.7500  0.7500  4 Fe 2.70
Fe  0.0000  0.0000  0.0000  4 Re 2.70, 4 Nd 2.70